Record 1
This record from the Alexandria database describes YTh5In4 after structural relaxation. The functional is PBE.

## Properties
Fermi-level density of states = 26.6 states/eV per cell
ΔH_f (0 K) = -0.059 eV/atom
Spin magnetization = 0.00 μB per formula unit

Cell: 4.9058 12.1545 10.5831 Å, 90.00 90.00 90.00°
Closest atoms and distances in Å follow each position.
Fractional positions:
In1 0.2507 0.5000 0.7969  1 Y 3.14, 6 Th 3.26-3.39
Th1 0.2496 0.1649 0.1822  5 In 3.28-3.53, 2 Th 3.51-3.52
In2 0.2504 0.2520 0.5000  1 Y 3.01, 5 Th 3.06-3.28
Th2 0.7504 0.3351 0.3178  5 In 3.28-3.53, 2 Th 3.51-3.52
In3 0.2507 0.5000 0.2031  1 Y 3.14, 6 Th 3.26-3.39
In4 0.7496 0.7520 0.0000  1 Y 3.01, 5 Th 3.06-3.28
Th3 0.2496 0.8351 0.1822  5 In 3.28-3.53, 2 Th 3.51-3.52
Th4 0.7504 0.3351 0.6822  5 In 3.28-3.53, 2 Th 3.51-3.52
Th5 0.2496 0.8351 0.8178  5 In 3.28-3.53, 2 Th 3.51-3.52
In5 0.7496 0.2480 0.0000  1 Y 3.01, 5 Th 3.06-3.28
In6 0.7493 0.0000 0.2969  1 Y 3.14, 6 Th 3.26-3.39
Th6 0.7504 0.6649 0.3178  5 In 3.28-3.53, 2 Th 3.51-3.52
Th7 0.2496 0.1649 0.8178  5 In 3.28-3.53, 2 Th 3.51-3.52
Th8 0.2491 0.0000 0.5000  6 In 3.06-3.26
In7 0.2504 0.7480 0.5000  1 Y 3.01, 5 Th 3.06-3.28
Y1 0.2501 0.5000 0.5000  4 In 3.01-3.14
Th9 0.7504 0.6649 0.6822  5 In 3.28-3.53, 2 Th 3.51-3.52
Th10 0.7509 0.5000 0.0000  6 In 3.06-3.26
Y2 0.7499 0.0000 0.0000  4 In 3.01-3.14
In8 0.7493 0.0000 0.7031  1 Y 3.14, 6 Th 3.26-3.39

***

Record 2
This record from the Alexandria database describes Y2ThIn after structural relaxation. The functional is PBE.

## Properties
Fermi-level density of states = 12.1 states/eV per cell
ΔH_f (0 K) = -0.093 eV/atom
Offset from the most stable computed form = 0.166 eV/atom
Spin magnetization = 0.00 μB per formula unit

Cell: 4.6865 4.7421 11.4655 Å, 90.00 101.82 90.00°
Closest atoms and distances in Å follow each position.
Fractional positions:
Y1 0.0651 0.7500 0.1289  2 In 3.24, 4 Y 3.33
Y2 0.5615 0.2500 0.1218  2 In 3.27, 8 Y 3.33-3.66
Y3 0.9349 0.2500 0.8711  2 In 3.24, 4 Y 3.33
Th1 0.6956 0.7500 0.3892  5 In 3.20-3.41
Th2 0.3044 0.2500 0.6108  5 In 3.20-3.41
In1 0.8362 0.7500 0.6745  5 Th 3.20-3.41, 4 Y 3.24-3.27
In2 0.1638 0.2500 0.3255  5 Th 3.20-3.41, 4 Y 3.24-3.27
Y4 0.4385 0.7500 0.8782  2 In 3.27, 8 Y 3.33-3.66

***

Record 3
This record from the Alexandria database describes YTh2In9 after structural relaxation. The functional is PBE.

## Properties
Fermi-level density of states = 5.6 states/eV per cell
ΔH_f (0 K) = -0.375 eV/atom
Spin magnetization = 0.00 μB per formula unit

Cell: 4.7127 4.7127 14.0987 Å, 90.00 90.00 90.00°
Closest atoms and distances in Å follow each position.
Fractional positions:
In1 0.5000 0.0000 0.5000  8 In 3.33-3.34, 4 Th 3.36
In2 0.5000 0.0000 0.8383  8 In 3.28-3.36, 2 Y 3.28, 2 Th 3.35
Y1 0.0000 0.0000 0.0000  12 In 3.28-3.33
In3 0.5000 0.5000 0.3319  4 Th 3.33, 8 In 3.34-3.36
In4 0.0000 0.5000 0.5000  8 In 3.33-3.34, 4 Th 3.36
Th1 0.0000 0.0000 0.6695  12 In 3.33-3.36
In5 0.5000 0.5000 0.0000  8 In 3.28, 4 Y 3.33
Th2 0.0000 0.0000 0.3305  12 In 3.33-3.36
In6 0.0000 0.5000 0.1617  2 Y 3.28, 8 In 3.28-3.36, 2 Th 3.35
In7 0.5000 0.5000 0.6681  4 Th 3.33, 8 In 3.34-3.36
In8 0.0000 0.5000 0.8383  8 In 3.28-3.36, 2 Y 3.28, 2 Th 3.35
In9 0.5000 0.0000 0.1617  8 In 3.28-3.36, 2 Y 3.28, 2 Th 3.35